No. 1
# NaAlC

A geometry-optimized NaAlC structure (GGA-PBE, Alexandria via LeMat-Bulk).

Lattice parameters (Å, degrees): 3.7532 3.7532 8.7690 98.77 98.77 71.35
Last column: nearest neighbours and their distance in Å.
Fractional positions:
Na: 0.1723 0.1723 0.3392  2 C 3.05, 3 Al 3.08-3.18
Na: 0.8277 0.8277 0.6608  2 C 3.05, 3 Al 3.08-3.18
Al: 0.2876 0.2876 0.9017  4 C 2.04-2.21
Al: 0.7124 0.7124 0.0983  4 C 2.04-2.21
C: 0.1633 0.8367 0.0000  1 C 1.43
C: 0.8367 0.1633 0.0000  1 C 1.43

## Properties
SG: C2/m

No. 2
# NaAlC

A geometry-optimized NaAlC structure (GGA-PBE, Alexandria via LeMat-Bulk).

Lattice parameters (Å, degrees): 7.9100 7.9100 7.9100 153.46 51.50 136.71
Last column: nearest neighbours and their distance in Å.
Fractional positions:
Na: 0.0000 0.0000 0.0000  4 C 2.69-2.75, 2 Al 2.86-2.97
Na: 0.2138 0.5188 0.6950  3 C 2.61-2.86, 1 Al 2.91
Na: 0.8237 0.5188 0.3050  3 C 2.61-2.86, 1 Al 2.91
Al: 0.4353 0.0554 0.3798  3 C 1.95-2.08
Al: 0.4909 0.4909 0.0000  4 C 1.98-2.17
Al: 0.6756 0.0554 0.6202  3 C 1.95-2.08
C: 0.3543 0.8543 0.5000  4 Al 1.98-2.08
C: 0.5392 0.6723 0.8669  3 Al 1.95-2.17
C: 0.8054 0.6723 0.1331  3 Al 1.95-2.17

## Properties
SG: Imm2

No. 3
# NaAlC

A geometry-optimized NaAlC structure (GGA-PBE, Alexandria via LeMat-Bulk).

Lattice parameters (Å, degrees): 5.2799 5.2799 7.1853 90.00 90.00 120.00
Last column: nearest neighbours and their distance in Å.
Fractional positions:
Na: 0.3333 0.6667 0.2500  3 Al 3.05
Na: 0.6667 0.3333 0.7500  3 Al 3.05
Al: 0.0000 0.0000 0.2500  2 C 1.80
Al: 0.0000 0.0000 0.7500  2 C 1.80
C: 0.0000 0.0000 0.0000  2 Al 1.80
C: 0.0000 0.0000 0.5000  2 Al 1.80

## Properties
SG: P6_3/mmc

No. 4
# NaAlC

A geometry-optimized NaAlC structure (GGA-PBE, Alexandria via LeMat-Bulk).

Lattice parameters (Å, degrees): 4.3028 4.3028 5.6198 90.00 90.00 97.57
Last column: nearest neighbours and their distance in Å.
Fractional positions:
Na: 0.2500 0.2500 0.0000  4 C 2.65, 2 Na 2.83
Na: 0.7500 0.7500 0.0000  4 C 2.65, 2 Na 2.83
Al: 0.0000 0.5000 0.5000  2 C 1.90
Al: 0.5000 0.0000 0.5000  2 C 1.90
C: 0.2500 0.7500 0.7242  2 Al 1.90
C: 0.7500 0.2500 0.2758  2 Al 1.90

## Properties
SG: Cmme

No. 5
# NaAlC

A geometry-optimized NaAlC structure (GGA-PBE, Alexandria via LeMat-Bulk).

Lattice parameters (Å, degrees): 5.6420 5.9148 6.9140 90.00 122.11 90.00
Last column: nearest neighbours and their distance in Å.
Fractional positions:
Na: 0.1449 0.0488 0.3776  4 C 2.65-2.95, 1 Na 2.97
Na: 0.1449 0.4512 0.8776  4 C 2.65-2.95, 1 Na 2.97
Na: 0.8551 0.5488 0.1224  4 C 2.65-2.95, 1 Na 2.97
Na: 0.8551 0.9512 0.6224  4 C 2.65-2.95, 1 Na 2.97
Al: 0.4399 0.6194 0.6239  3 C 1.93-2.00
Al: 0.4399 0.8806 0.1239  3 C 1.93-2.00
Al: 0.5601 0.1194 0.8761  3 C 1.93-2.00
Al: 0.5601 0.3806 0.3761  3 C 1.93-2.00
C: 0.3819 0.6850 0.3190  3 Al 1.93-2.00
C: 0.3819 0.8150 0.8190  3 Al 1.93-2.00
C: 0.6181 0.1850 0.1810  3 Al 1.93-2.00
C: 0.6181 0.3150 0.6810  3 Al 1.93-2.00

## Properties
SG: P2_1/c

No. 6
# NaAlC

A geometry-optimized NaAlC structure (GGA-PBE, Alexandria via LeMat-Bulk).

Lattice parameters (Å, degrees): 6.1761 6.1761 5.9553 101.77 101.77 28.84
Last column: nearest neighbours and their distance in Å.
Fractional positions:
Na: 0.1775 0.1775 0.2353  4 C 2.81-2.86, 2 Al 3.03-3.13, 2 Na 3.08
Na: 0.8225 0.8225 0.7647  4 C 2.81-2.86, 2 Al 3.03-3.13, 2 Na 3.08
Al: 0.0688 0.0688 0.7083  2 C 2.09
Al: 0.9312 0.9312 0.2917  2 C 2.09
C: 0.4787 0.4787 0.0939  1 C 1.32
C: 0.5213 0.5213 0.9061  1 C 1.32

## Properties
SG: C2/m

No. 7
# NaAl4C2

A geometry-optimized NaAl4C2 structure (GGA-PBE, Alexandria via LeMat-Bulk).

Lattice parameters (Å, degrees): 6.5653 6.5653 6.5653 130.27 130.27 72.97
Last column: nearest neighbours and their distance in Å.
Fractional positions:
Na: 0.0000 0.0000 0.0000  6 Al 2.71-2.76
Al: 0.0000 0.5000 0.5000  2 Na 2.76, 4 C 2.83
Al: 0.2572 0.2572 0.0000  1 C 1.92
Al: 0.5000 0.0000 0.5000  2 Na 2.76, 4 C 2.83
Al: 0.7428 0.7428 0.0000  1 C 1.92
C: 0.4394 0.4394 0.0000  1 C 1.28
C: 0.5606 0.5606 0.0000  1 C 1.28

## Properties
SG: I4/mmm

No. 8
# NaAlC

A geometry-optimized NaAlC structure (GGA-PBE, Alexandria via LeMat-Bulk).

Lattice parameters (Å, degrees): 4.8891 4.8891 9.2995 90.00 90.00 90.00
Last column: nearest neighbours and their distance in Å.
Fractional positions:
Na: 0.0000 0.2191 0.0000  4 C 2.73-2.84, 2 Na 2.77, 2 Al 2.98
Na: 0.0000 0.7809 0.5000  4 C 2.73-2.84, 2 Na 2.77, 2 Al 2.98
Na: 0.2191 0.0000 0.7500  4 C 2.73-2.84, 2 Na 2.77, 2 Al 2.98
Na: 0.7809 0.0000 0.2500  4 C 2.73-2.84, 2 Na 2.77, 2 Al 2.98
Al: 0.3228 0.3228 0.3750  2 C 1.89
Al: 0.3228 0.6772 0.1250  2 C 1.89
Al: 0.6772 0.3228 0.6250  2 C 1.89
Al: 0.6772 0.6772 0.8750  2 C 1.89
C: 0.0760 0.5000 0.2500  2 Al 1.89
C: 0.5000 0.0760 0.5000  2 Al 1.89
C: 0.5000 0.9240 0.0000  2 Al 1.89
C: 0.9240 0.5000 0.7500  2 Al 1.89

## Properties
SG: P4_122

No. 9
# NaAlC

A geometry-optimized NaAlC structure (GGA-PBE, Alexandria via LeMat-Bulk).

Lattice parameters (Å, degrees): 3.4338 3.4338 10.5673 96.14 96.14 61.56
Last column: nearest neighbours and their distance in Å.
Fractional positions:
Na: 0.1413 0.1413 0.3550  1 C 2.98, 1 Al 3.30
Na: 0.8587 0.8587 0.6450  1 C 2.98, 1 Al 3.30
Al: 0.2455 0.2455 0.8987  4 C 2.02-2.15
Al: 0.7545 0.7545 0.1013  4 C 2.02-2.15
C: 0.0866 0.0866 0.0710  1 C 1.71
C: 0.9134 0.9134 0.9290  1 C 1.71

## Properties
SG: C2/m

No. 10
# NaAlC

A geometry-optimized NaAlC structure (GGA-PBE, Alexandria via LeMat-Bulk).

Lattice parameters (Å, degrees): 3.7006 3.7006 5.9365 90.00 90.00 90.00
Last column: nearest neighbours and their distance in Å.
Fractional positions:
Na: 0.2500 0.2500 0.1075  5 C 2.66-2.96, 4 Na 2.91, 4 Al 2.98
Na: 0.7500 0.7500 0.8925  5 C 2.66-2.96, 4 Na 2.91, 4 Al 2.98
Al: 0.2500 0.7500 0.5000  4 C 2.08
Al: 0.7500 0.2500 0.5000  4 C 2.08
C: 0.2500 0.2500 0.6594  4 Al 2.08
C: 0.7500 0.7500 0.3406  4 Al 2.08

## Properties
SG: P4/nmm

No. 11
# NaAlC

A geometry-optimized NaAlC structure (GGA-PBE, Alexandria via LeMat-Bulk).

Lattice parameters (Å, degrees): 3.7266 3.7268 6.3891 105.98 106.64 90.00
Last column: nearest neighbours and their distance in Å.
Fractional positions:
Na: 0.0000 0.0000 0.0000  4 Na 2.64, 4 C 2.69-2.76, 2 Al 2.93
Na: 0.5000 0.5000 0.0000  4 Na 2.64, 4 C 2.71-2.73, 2 Al 2.93
Al: 0.2502 0.2499 0.5001  4 C 2.09
Al: 0.7498 0.7501 0.4999  4 C 2.09
C: 0.1704 0.6731 0.3380  4 Al 2.09
C: 0.8296 0.3269 0.6620  4 Al 2.09

## Properties
SG: P-1

No. 12
# NaAlC

A geometry-optimized NaAlC structure (GGA-PBE, Alexandria via LeMat-Bulk).

Lattice parameters (Å, degrees): 7.3112 7.3112 7.3112 96.98 96.98 139.21
Last column: nearest neighbours and their distance in Å.
Fractional positions:
Na: 0.0000 0.3390 0.3390  4 C 2.62-2.68
Na: 0.0000 0.6610 0.6610  4 C 2.62-2.68
Na: 0.3390 0.0000 0.3390  4 C 2.62-2.68
Na: 0.6610 0.0000 0.6610  4 C 2.62-2.68
Al: 0.3573 0.3573 0.7147  2 C 1.88
Al: 0.3573 0.6427 0.0000  2 C 1.88
Al: 0.6427 0.3573 0.0000  2 C 1.88
Al: 0.6427 0.6427 0.2853  2 C 1.88
C: 0.2253 0.5000 0.7253  2 Al 1.88
C: 0.5000 0.2253 0.7253  2 Al 1.88
C: 0.5000 0.7747 0.2747  2 Al 1.88
C: 0.7747 0.5000 0.2747  2 Al 1.88

## Properties
SG: I4/mmm

The following calculated total energy values (in eV per atom) correspond, in order, to the records above: -4.4051; -4.4502; -3.7611; -4.1618; -4.5318; -4.4477; -3.8507; -4.0602; -4.4544; -4.5872; -4.4894; -4.1739.
The following DOS(E_F) values (in states/eV/f.u.) correspond, in order, to the records above: 0.55; 0.00; 0.28; 0.00; 0.00; 0.86; 3.91; 0.00; 0.96; 0.00; 0.00; 0.18.
The following spin magnetization values (in μB per atom) correspond, in order, to the records above: 0.000; 0.000; 0.000; 0.000; 0.000; 0.000; 0.000; 0.000; 0.000; 0.000; 0.000; 0.000.